Entry from the Alexandria database: a geometry-optimized ScAs2RhBr structure (PBE-GGA).

Output
Raw formation energy = 0.07 eV per atom
Offset from the most stable computed form = 0.0 meV per atom
E_tot = -4.866 eV/atom

Geometry as POSCAR:
```
ScAs2RhBr
1.0
4.779 0.000 0.000
0.000 4.779 0.000
0.000 0.000 5.124
Sc Br As Rh
1 1 2 1
Direct
0.500 0.500 0.500
0.000 0.000 0.500
0.500 0.000 0.000
0.000 0.500 0.000
0.000 0.000 0.000
```

---

Entry from the Alexandria database: a geometry-optimized PmInHg structure (PBE-GGA).

Output
Energy relative to the elements = -1.4 eV per formula unit
Offset from the most stable computed form = 7.2 meV per atom
E_tot = -3.068 eV/atom

Geometry as POSCAR:
```
PmInHg
1.0
-0.983 -2.946 -3.808
4.869 -0.845 -3.773
0.374 -6.044 1.410
Pm Hg In
2 2 2
Direct
0.000 0.639 0.361
0.500 0.153 0.847
0.718 0.261 0.304
0.282 0.696 0.739
0.718 0.597 0.967
0.282 0.033 0.403
```

---

The lowest E_tot belongs to which entry? ScAs2RhBr

---

The highest offset from the most stable computed form belongs to which entry? PmInHg